Computed, not measured: Hg2PCl after structural relaxation at the GGA-PBEsol level of DFT.

* crystal system: monoclinic
* formation energy without anion corrections: 0.00 eV per atom
* spin magnetization: 0.0 μB per cell
* energy above the lowest structure with this stoichiometry: 0.162 eV/atom

Cell: 3.7837 4.3974 6.6922 Å, 90.77 90.00 115.48°
Closest atoms and distances in Å follow each position.
Fractional positions:
Cl1 0.7463 0.4925 0.7568  1 Hg 2.50
Hg1 0.9528 0.9056 0.0419  1 Cl 2.50, 2 P 2.58
Hg2 0.2567 0.5135 0.4199  3 P 2.48-2.69
P1 0.5442 0.0884 0.2813  5 Hg 2.48-2.69